Below is a relaxed structure of CdGe2Se, with properties calculated at the PBE level.

The calculation puts the total energy at -51.80 eV for the cell shown. As for the raw formation energy: 0.17 eV per atom.

```
data_CdGe2Se
_symmetry_space_group_name_H-M 'I -4 2 d'
_symmetry_Int_Tables_number 122
_symmetry_space_group_name_Hall 'I -4 2bw'
_cell_length_a 6.1296
_cell_length_b 6.1296
_cell_length_c 12.0663
_cell_angle_alpha 90.00
_cell_angle_beta 90.00
_cell_angle_gamma 90.00
loop_
_atom_site_label
_atom_site_type_symbol
_atom_site_fract_x
_atom_site_fract_y
_atom_site_fract_z
_atom_site_occupancy
Cd1 Cd 0.0000 0.0000 0.0000 1
Ge1 Ge 0.2448 0.2500 0.6250 1
Se1 Se 0.0000 0.0000 0.5000 1
```